1.
A plane-wave DFT calculation with PBE-GGA was carried out for a relaxed SrIn12Au4 crystal.

As for the calculated total energy: -2.944 eV per atom. Its density is 7.91 g/cm³. Its magnetization is 0.000 μB/atom. The calculation puts the energy of formation from the pure elements at -0.141 eV per atom.

a b c (Å): 8.509 8.509 8.509
angles (deg): 109.53 109.53 109.53
Fractional coordinates of all 17 atoms:
Sr (0.000, 0.000, 0.000)
In (0.155, 0.346, 0.502)
In (0.155, 0.653, 0.809)
In (0.191, 0.845, 0.347)
In (0.346, 0.502, 0.155)
In (0.347, 0.191, 0.845)
In (0.498, 0.845, 0.654)
In (0.502, 0.155, 0.346)
In (0.653, 0.809, 0.155)
In (0.654, 0.498, 0.845)
In (0.809, 0.155, 0.653)
In (0.845, 0.347, 0.191)
In (0.845, 0.654, 0.498)
Au (0.000, 0.000, 0.500)
Au (0.000, 0.500, 0.000)
Au (0.500, 0.000, 0.000)
Au (0.500, 0.500, 0.500)

2.
A plane-wave DFT calculation with PBE-GGA was carried out for a relaxed Sr4InAu crystal.

For the energy above the most stable polymorph in this dataset, the calculation gives 0.000 eV/f.u. As for the calculated total energy: -2.544 eV per atom. Its density is 4.81 g/cm³. Its magnetization is 0.000 μB/atom. The calculation puts the energy of formation from the pure elements at -0.420 eV per atom.

a b c (Å): 9.383 4.485 21.753
angles (deg): 90.00 90.00 90.00
Fractional coordinates of all 24 atoms:
Sr (0.011, 0.250, 0.071)
Sr (0.017, 0.250, 0.776)
Sr (0.139, 0.250, 0.555)
Sr (0.148, 0.250, 0.355)
Sr (0.352, 0.750, 0.855)
Sr (0.361, 0.750, 0.055)
Sr (0.483, 0.750, 0.276)
Sr (0.489, 0.750, 0.571)
Sr (0.511, 0.250, 0.429)
Sr (0.517, 0.250, 0.724)
Sr (0.639, 0.250, 0.945)
Sr (0.648, 0.250, 0.145)
Sr (0.852, 0.750, 0.645)
Sr (0.861, 0.750, 0.445)
Sr (0.983, 0.750, 0.224)
Sr (0.989, 0.750, 0.929)
In (0.226, 0.750, 0.688)
In (0.274, 0.250, 0.188)
In (0.726, 0.750, 0.812)
In (0.774, 0.250, 0.312)
Au (0.244, 0.250, 0.953)
Au (0.256, 0.750, 0.453)
Au (0.744, 0.250, 0.547)
Au (0.756, 0.750, 0.047)

3.
A plane-wave DFT calculation with PBE-GGA was carried out for a relaxed SrIn3Au2 crystal.

For the energy above the most stable polymorph in this dataset, the calculation gives 0.000 eV/f.u. As for the calculated total energy: -3.197 eV per atom. Its density is 8.96 g/cm³. Its magnetization is 0.000 μB/atom. The calculation puts the energy of formation from the pure elements at -0.455 eV per atom.

a b c (Å): 9.509 9.509 11.333
angles (deg): 104.60 104.60 27.65
Fractional coordinates of all 18 atoms:
Sr (0.000, 0.000, 0.000)
Sr (0.157, 0.157, 0.704)
Sr (0.843, 0.843, 0.296)
In (0.039, 0.039, 0.345)
In (0.211, 0.211, 0.384)
In (0.326, 0.326, 0.034)
In (0.379, 0.379, 0.798)
In (0.500, 0.500, 0.500)
In (0.621, 0.621, 0.202)
In (0.674, 0.674, 0.966)
In (0.789, 0.789, 0.616)
In (0.961, 0.961, 0.655)
Au (0.199, 0.199, 0.129)
Au (0.356, 0.356, 0.530)
Au (0.465, 0.465, 0.203)
Au (0.535, 0.535, 0.797)
Au (0.644, 0.644, 0.470)
Au (0.801, 0.801, 0.871)